# 1
A plane-wave DFT calculation with PBE was carried out for a relaxed structure of Li2I2N.

It has space group P4/mbm (No. 127), with a = 7.255 Å, b = 7.255 Å, c = 4.193 Å, α = 90.00°, β = 90.00° and γ = 90.00°. The distinct sites, in fractional coordinates, are Li at (0.148, 0.352, 0.000), I at (0.190, 0.690, 0.500) and N at (0.000, 0.000, 0.500).

Its energy above the most stable polymorph in this dataset is 20.9 kJ/mol of atoms. The value obtained for the total magnetic moment is 0.00 μB/f.u. The density of states at the Fermi level comes out at 0.368 states/eV/atom. The energy relative to the elements, uncorrected is 28.4 kJ per mole of atoms.

=====

# 2
A plane-wave DFT calculation with PBE was carried out for a relaxed structure of Tb5Ho3Er2.

It has space group C2/c (No. 15), with a = 10.553 Å, b = 15.546 Å, c = 9.463 Å, α = 90.00°, β = 123.74° and γ = 90.00°. The distinct sites, in fractional coordinates, are Tb at (0.000, 0.022, 0.250), Tb at (0.000, 0.276, 0.750), Tb at (0.000, 0.472, 0.750), Tb at (0.229, 0.376, 0.210), Ho at (0.000, 0.229, 0.250), Ho at (0.138, 0.128, 0.046) and Er at (0.159, 0.378, 0.547).

Its energy above the most stable polymorph in this dataset is 0.0 kJ/mol of atoms. The value obtained for the total magnetic moment is 0.00 μB/f.u. The density of states at the Fermi level comes out at 1.936 states/eV/atom. The formation energy comes out at 203 meV per atom.

=====

# 3
A plane-wave DFT calculation with PBE was carried out for a relaxed structure of CdIn2MoP.

It has space group P4/mmm (No. 123), with a = 5.111 Å, b = 5.111 Å, c = 5.104 Å, α = 90.00°, β = 90.00° and γ = 90.00°. The distinct sites, in fractional coordinates, are Cd at (0.000, 0.000, 0.000), In at (0.000, 0.500, 0.500), Mo at (0.500, 0.500, 0.000) and P at (0.000, 0.000, 0.500).

The value obtained for the total magnetic moment is 4.36 μB/f.u. The density of states at the Fermi level comes out at 0.685 states/eV/atom. The formation energy comes out at 1080 meV per atom.

=====

# 4
A plane-wave DFT calculation with PBE was carried out for a relaxed structure of CaZrSnAs2.

It has space group P4/mmm (No. 123), with a = 5.170 Å, b = 5.170 Å, c = 5.844 Å, α = 90.00°, β = 90.00° and γ = 90.00°. The distinct sites, in fractional coordinates, are Ca at (0.000, 0.000, 0.000), Zr at (0.000, 0.000, 0.500), Sn at (0.500, 0.500, 0.000) and As at (0.000, 0.500, 0.500).

The value obtained for the total magnetic moment is 0.00 μB/f.u. The density of states at the Fermi level comes out at 1.192 states/eV/atom. The formation energy comes out at 233 meV per atom.

=====

# 5
A plane-wave DFT calculation with PBE was carried out for a relaxed structure of ScPaCuRh.

It has space group F-43m (No. 216), with a = 6.742 Å, b = 6.742 Å, c = 6.742 Å, α = 90.00°, β = 90.00° and γ = 90.00°. The distinct sites, in fractional coordinates, are Sc at (0.000, 0.000, 0.000), Pa at (0.000, 0.000, 0.500), Cu at (0.250, 0.250, 0.750) and Rh at (0.250, 0.250, 0.250).

The value obtained for the total magnetic moment is 0.22 μB/f.u. The density of states at the Fermi level comes out at 1.464 states/eV/atom. The formation energy comes out at -356 meV per atom.

=====

# 6
A plane-wave DFT calculation with PBE was carried out for a relaxed structure of Tb4YTh.

It has space group C2/m (No. 12), with a = 15.435 Å, b = 3.578 Å, c = 7.138 Å, α = 90.00°, β = 103.36° and γ = 90.00°. The distinct sites, in fractional coordinates, are Tb at (0.163, 0.000, 0.337), Tb at (0.165, 0.000, 0.828), Y at (0.000, 0.500, 0.000) and Th at (0.000, 0.500, 0.500).

Its energy above the most stable polymorph in this dataset is 0.0 kJ/mol of atoms. The value obtained for the total magnetic moment is 0.00 μB/f.u. The density of states at the Fermi level comes out at 1.245 states/eV/atom. The formation energy comes out at 16 meV per atom.

=====

# 7
A plane-wave DFT calculation with PBE was carried out for a relaxed structure of RbNaTiCd2.

It has space group P4/mmm (No. 123), with a = 5.559 Å, b = 5.559 Å, c = 5.589 Å, α = 90.00°, β = 90.00° and γ = 90.00°. The distinct sites, in fractional coordinates, are Rb at (0.000, 0.000, 0.000), Na at (0.000, 0.000, 0.500), Ti at (0.500, 0.500, 0.000) and Cd at (0.000, 0.500, 0.500).

The value obtained for the total magnetic moment is 0.20 μB/f.u. The density of states at the Fermi level comes out at 1.469 states/eV/atom. The formation energy comes out at 1042 meV per atom.

=====

# 8
A plane-wave DFT calculation with PBE was carried out for a relaxed structure of Be2HgAs.

It has space group Imm2 (No. 44), with a = 3.324 Å, b = 3.349 Å, c = 11.575 Å, α = 90.00°, β = 90.00° and γ = 90.00°. The distinct sites, in fractional coordinates, are Be at (0.000, 0.000, 0.000), Be at (0.000, 0.500, 0.357), Hg at (0.000, 0.500, 0.734) and As at (0.000, 0.000, 0.498).

The value obtained for the total magnetic moment is 0.00 μB/f.u. The density of states at the Fermi level comes out at 0.174 states/eV/atom. The formation energy comes out at 336 meV per atom.

=====

# 9
A plane-wave DFT calculation with PBE was carried out for a relaxed structure of TaBeHg3.

It has space group Pm-3m (No. 221), with a = 5.470 Å, b = 5.470 Å, c = 5.470 Å, α = 90.00°, β = 90.00° and γ = 90.00°. The distinct sites, in fractional coordinates, are Ta at (0.000, 0.000, 0.000), Be at (0.500, 0.500, 0.500) and Hg at (0.000, 0.000, 0.500).

Its energy above the most stable polymorph in this dataset is 48.6 kJ/mol of atoms. The value obtained for the total magnetic moment is 2.13 μB/f.u. The density of states at the Fermi level comes out at 1.145 states/eV/atom. The formation energy comes out at 1428 meV per atom.

=====

# 10
A plane-wave DFT calculation with PBE was carried out for a relaxed structure of Cs2Sb.

It has space group C2/m (No. 12), with a = 17.054 Å, b = 5.091 Å, c = 11.710 Å, α = 90.00°, β = 119.12° and γ = 90.00°. The distinct sites, in fractional coordinates, are Cs at (0.030, 0.000, 0.323), Cs at (0.202, 0.500, 0.188) and Sb at (0.215, 0.500, 0.527).

Its energy above the most stable polymorph in this dataset is 11.4 kJ/mol of atoms. The value obtained for the total magnetic moment is 0.00 μB/f.u. The density of states at the Fermi level comes out at 0.484 states/eV/atom. The energy relative to the elements, uncorrected is -27.6 kJ per mole of atoms.

=====

# 11
A plane-wave DFT calculation with PBE was carried out for a relaxed structure of MnAlCd2.

It has space group Cmmm (No. 65), with a = 5.756 Å, b = 8.333 Å, c = 3.077 Å, α = 90.00°, β = 90.00° and γ = 90.00°. The distinct sites, in fractional coordinates, are Mn at (0.000, 0.000, 0.000), Al at (0.000, 0.500, 0.000) and Cd at (0.250, 0.250, 0.500).

The value obtained for the total magnetic moment is 3.28 μB/f.u. The density of states at the Fermi level comes out at 0.505 states/eV/atom. The formation energy comes out at 202 meV per atom.

=====

# 12
A plane-wave DFT calculation with PBE was carried out for a relaxed structure of AlSi2Ir.

It has space group P4/mmm (No. 123), with a = 2.857 Å, b = 2.857 Å, c = 7.041 Å, α = 90.00°, β = 90.00° and γ = 90.00°. The distinct sites, in fractional coordinates, are Al at (0.000, 0.000, 0.000), Si at (0.500, 0.500, 0.269) and Ir at (0.000, 0.000, 0.500).

Its energy above the most stable polymorph in this dataset is 4.8 kJ/mol of atoms. The value obtained for the total magnetic moment is 0.00 μB/f.u. The density of states at the Fermi level comes out at 0.330 states/eV/atom. The energy relative to the elements, uncorrected is -14.7 kJ per mole of atoms.

=====

# 13
A plane-wave DFT calculation with PBE was carried out for a relaxed structure of Ac2Pr8Cd.

It has space group C2/m (No. 12), with a = 16.735 Å, b = 7.008 Å, c = 7.130 Å, α = 90.00°, β = 102.84° and γ = 90.00°. The distinct sites, in fractional coordinates, are Ac at (0.180, 0.000, 0.302), Pr at (0.076, 0.258, 0.874), Pr at (0.096, 0.500, 0.426), Pr at (0.247, 0.000, 0.827) and Cd at (0.000, 0.000, 0.500).

The value obtained for the total magnetic moment is 0.00 μB/f.u. The density of states at the Fermi level comes out at 1.562 states/eV/atom. The formation energy comes out at 69 meV per atom.

=====

# 14
A plane-wave DFT calculation with PBE was carried out for a relaxed structure of Ba2SrB2S6.

It has space group C2/m (No. 12), with a = 11.674 Å, b = 6.644 Å, c = 8.328 Å, α = 90.00°, β = 118.34° and γ = 90.00°. The distinct sites, in fractional coordinates, are Ba at (0.205, 0.000, 0.202), Sr at (0.000, 0.000, 0.500), B at (0.041, 0.500, 0.244), S at (0.050, 0.264, 0.810) and S at (0.218, 0.500, 0.353).

The value obtained for the total magnetic moment is 0.00 μB/f.u. The density of states at the Fermi level comes out at 0.000 states/eV/atom. The energy relative to the elements, uncorrected is -133.3 kJ per mole of atoms.

=====

# 15
A plane-wave DFT calculation with PBE was carried out for a relaxed structure of B2RhCl.

It has space group Fm-3m (No. 225), with a = 5.718 Å, b = 5.718 Å, c = 5.718 Å, α = 90.00°, β = 90.00° and γ = 90.00°. The distinct sites, in fractional coordinates, are B at (0.250, 0.250, 0.250), Rh at (0.000, 0.000, 0.000) and Cl at (0.000, 0.000, 0.500).

Its energy above the most stable polymorph in this dataset is 111.8 kJ/mol of atoms. The value obtained for the total magnetic moment is 0.00 μB/f.u. The density of states at the Fermi level comes out at 0.776 states/eV/atom. The energy relative to the elements, uncorrected is 177.2 kJ per mole of atoms.

=====

# 16
A plane-wave DFT calculation with PBE was carried out for a relaxed structure of ZrTl2Co.

It has space group C2/m (No. 12), with a = 11.042 Å, b = 3.217 Å, c = 5.275 Å, α = 90.00°, β = 118.39° and γ = 90.00°. The distinct sites, in fractional coordinates, are Zr at (0.000, 0.000, 0.000), Tl at (0.221, 0.000, 0.721) and Co at (0.000, 0.500, 0.500).

The value obtained for the total magnetic moment is 0.80 μB/f.u. The density of states at the Fermi level comes out at 0.905 states/eV/atom. The formation energy comes out at 291 meV per atom.

=====

# 17
A plane-wave DFT calculation with PBE was carried out for a relaxed structure of TbPmSm5Dy2.

It has space group Cmc2_1 (No. 36), with a = 5.657 Å, b = 20.233 Å, c = 10.687 Å, α = 90.00°, β = 90.00° and γ = 90.00°. The distinct sites, in fractional coordinates, are Tb at (0.000, 0.088, 0.000), Pm at (0.000, 0.299, 0.555), Sm at (0.000, 0.021, 0.285), Sm at (0.000, 0.108, 0.569), Sm at (0.000, 0.202, 0.250), Sm at (0.000, 0.219, 0.853), Sm at (0.000, 0.483, 0.568), Dy at (0.000, 0.384, 0.864) and Dy at (0.000, 0.389, 0.281).

The value obtained for the total magnetic moment is 0.00 μB/f.u. The density of states at the Fermi level comes out at 1.579 states/eV/atom. The formation energy comes out at 148 meV per atom.

=====

# 18
A plane-wave DFT calculation with PBE was carried out for a relaxed structure of Nd3Zn4Ge2.

It has space group C2/m (No. 12), with a = 11.051 Å, b = 4.362 Å, c = 8.604 Å, α = 90.00°, β = 107.15° and γ = 90.00°. The distinct sites, in fractional coordinates, are Nd at (0.000, 0.000, 0.000), Nd at (0.174, 0.500, 0.655), Zn at (0.026, 0.000, 0.365), Zn at (0.242, 0.500, 0.071) and Ge at (0.110, 0.500, 0.275).

The value obtained for the total magnetic moment is 0.00 μB/f.u. The density of states at the Fermi level comes out at 0.539 states/eV/atom. The formation energy comes out at -575 meV per atom.

=====

# 19
A plane-wave DFT calculation with PBE was carried out for a relaxed structure of TlSnGe2.

It has space group Fm-3m (No. 225), with a = 7.277 Å, b = 7.277 Å, c = 7.277 Å, α = 90.00°, β = 90.00° and γ = 90.00°. The distinct sites, in fractional coordinates, are Tl at (0.000, 0.000, 0.000), Sn at (0.000, 0.000, 0.500) and Ge at (0.250, 0.250, 0.250).

Its energy above the most stable polymorph in this dataset is 4.1 kJ/mol of atoms. The value obtained for the total magnetic moment is 0.00 μB/f.u. The density of states at the Fermi level comes out at 0.492 states/eV/atom. The formation energy comes out at 283 meV per atom.

=====

# 20
A plane-wave DFT calculation with PBE was carried out for a relaxed structure of BaNiAgH6.

It has space group P-6m2 (No. 187), with a = 4.8765 Å, b = 4.8765 Å, c = 4.8577 Å, α = 90.00°, β = 90.00° and γ = 120.00°. The distinct sites, in fractional coordinates, are Ba at (0.0000, 0.0000, 0.0000), Ni at (0.6667, 0.3333, 0.5000), Ag at (0.3333, 0.6667, 0.5000) and H at (0.5238, 0.0476, 0.2820).

The value obtained for the total magnetic moment is 0.00 μB/f.u. The density of states at the Fermi level comes out at 0.162 states/eV/atom. The total energy comes out at -3.61 eV/atom.